DFT (GGA-PBE) results for a relaxed K3Pu3GaO8 crystal.

a = 7.428 Å, b = 7.428 Å, c = 7.428 Å
α = 56.77°, β = 56.77°, γ = 56.77°
Fractional positions:
K  0.000  0.500  0.500
K  0.500  0.000  0.500
K  0.500  0.500  0.000
Pu  0.000  0.000  0.500
Pu  0.000  0.500  0.000
Pu  0.500  0.000  0.000
Ga  0.500  0.500  0.500
O  0.192  0.740  0.740
O  0.231  0.231  0.231
O  0.260  0.260  0.808
O  0.260  0.808  0.260
O  0.740  0.192  0.740
O  0.740  0.740  0.192
O  0.769  0.769  0.769
O  0.808  0.260  0.260

Values from the calculation:
Density of states at the Fermi level ... 15.054 states/eV/f.u.
Calculated total energy ... -8.203 eV/atom
Formation energy without anion corrections ... -219.1 kJ/mol of atoms
M_tot ... 11.976 μB per cell

=====

DFT (GGA-PBE) results for a relaxed KPuGa2O6 crystal.

a = 7.553 Å, b = 7.553 Å, c = 6.132 Å
α = 103.41°, β = 103.41°, γ = 87.47°
Fractional positions:
K  0.088  0.912  0.750
K  0.912  0.088  0.250
Pu  0.286  0.714  0.250
Pu  0.714  0.286  0.750
Ga  0.215  0.369  0.851
Ga  0.369  0.215  0.351
Ga  0.631  0.785  0.649
Ga  0.785  0.631  0.149
O  0.007  0.737  0.291
O  0.209  0.628  0.911
O  0.263  0.993  0.209
O  0.289  0.386  0.177
O  0.372  0.791  0.589
O  0.386  0.289  0.677
O  0.614  0.711  0.323
O  0.628  0.209  0.411
O  0.711  0.614  0.823
O  0.737  0.007  0.791
O  0.791  0.372  0.089
O  0.993  0.263  0.709

Values from the calculation:
Density of states at the Fermi level ... 5.782 states/eV/f.u.
Calculated total energy ... -7.215 eV/atom
Formation energy without anion corrections ... -201.9 kJ/mol of atoms
M_tot ... 6.000 μB per cell

=====

DFT (GGA-PBE) results for a relaxed K2PuGaO6 crystal.

a = 10.375 Å, b = 10.375 Å, c = 10.375 Å
α = 33.07°, β = 33.07°, γ = 33.07°
Fractional positions:
K  0.133  0.133  0.133
K  0.285  0.285  0.285
K  0.715  0.715  0.715
K  0.867  0.867  0.867
Pu  0.408  0.408  0.408
Pu  0.592  0.592  0.592
Ga  0.000  0.000  0.000
Ga  0.500  0.500  0.500
O  0.156  0.604  0.604
O  0.205  0.205  0.706
O  0.205  0.706  0.205
O  0.294  0.795  0.795
O  0.396  0.396  0.844
O  0.396  0.844  0.396
O  0.604  0.156  0.604
O  0.604  0.604  0.156
O  0.706  0.205  0.205
O  0.795  0.294  0.795
O  0.795  0.795  0.294
O  0.844  0.396  0.396

Values from the calculation:
Calculated total energy ... -6.928 eV/atom
Formation energy without anion corrections ... -192.7 kJ/mol of atoms
M_tot ... 1.990 μB per cell

=====

DFT (GGA-PBE) results for a relaxed KPuGaO6 crystal.

a = 5.316 Å, b = 5.316 Å, c = 6.074 Å
α = 90.00°, β = 90.00°, γ = 120.00°
Fractional positions:
K  0.000  0.000  0.000
Pu  0.333  0.667  0.500
Ga  0.667  0.333  0.500
O  0.004  0.381  0.683
O  0.004  0.623  0.317
O  0.377  0.381  0.317
O  0.377  0.996  0.683
O  0.619  0.623  0.683
O  0.619  0.996  0.317

Values from the calculation:
Calculated total energy ... -7.203 eV/atom
Formation energy without anion corrections ... -178.1 kJ/mol of atoms
M_tot ... 0.000 μB per cell

=====

DFT (GGA-PBE) results for a relaxed KPuGa2O8 crystal.

a = 6.072 Å, b = 6.072 Å, c = 6.072 Å
α = 108.61°, β = 108.61°, γ = 111.21°
Fractional positions:
K  0.000  0.000  0.000
Pu  0.250  0.750  0.500
Ga  0.500  0.500  0.000
Ga  0.750  0.250  0.500
O  0.328  0.117  0.788
O  0.328  0.540  0.212
O  0.381  0.038  0.342
O  0.460  0.672  0.788
O  0.696  0.038  0.658
O  0.883  0.672  0.212
O  0.962  0.304  0.342
O  0.962  0.619  0.658

Values from the calculation:
Density of states at the Fermi level ... 6.619 states/eV/f.u.
Calculated total energy ... -6.451 eV/atom
Formation energy without anion corrections ... -130.8 kJ/mol of atoms
M_tot ... 1.000 μB per cell

=====

DFT (GGA-PBE) results for a relaxed KPuGaO4 crystal.

a = 6.784 Å, b = 6.784 Å, c = 6.784 Å
α = 125.87°, β = 116.55°, γ = 88.11°
Fractional positions:
K  0.406  0.156  0.250
K  0.594  0.844  0.750
Pu  0.000  0.500  0.500
Pu  0.500  0.500  0.000
Ga  0.000  0.000  0.500
Ga  0.000  0.500  0.000
O  0.165  0.733  0.432
O  0.199  0.267  0.932
O  0.232  0.269  0.536
O  0.232  0.696  0.964
O  0.768  0.304  0.036
O  0.768  0.731  0.464
O  0.801  0.733  0.068
O  0.835  0.267  0.568

Values from the calculation:
Density of states at the Fermi level ... 5.536 states/eV/f.u.
Calculated total energy ... -7.611 eV/atom
Formation energy without anion corrections ... -206.6 kJ/mol of atoms
M_tot ... 8.000 μB per cell

=====

DFT (GGA-PBE) results for a relaxed K2PuGa2O6 crystal.

a = 5.481 Å, b = 5.481 Å, c = 6.404 Å
α = 90.00°, β = 90.00°, γ = 120.00°
Fractional positions:
K  0.333  0.667  0.000
K  0.667  0.333  0.000
Pu  0.000  0.000  0.500
Ga  0.333  0.667  0.500
Ga  0.667  0.333  0.500
O  0.000  0.360  0.670
O  0.000  0.640  0.330
O  0.360  0.000  0.670
O  0.360  0.360  0.330
O  0.640  0.000  0.330
O  0.640  0.640  0.670

Values from the calculation:
Density of states at the Fermi level ... 0.959 states/eV/f.u.
Calculated total energy ... -6.784 eV/atom
Formation energy without anion corrections ... -195.6 kJ/mol of atoms
M_tot ... 4.000 μB per cell

=====

DFT (GGA-PBE) results for a relaxed KPu2GaO8 crystal.

a = 4.960 Å, b = 4.960 Å, c = 6.901 Å
α = 90.11°, β = 90.11°, γ = 85.87°
Fractional positions:
K  0.000  0.000  0.000
Pu  0.499  0.499  0.741
Pu  0.501  0.501  0.259
Ga  0.000  0.000  0.500
O  0.211  0.789  0.296
O  0.211  0.789  0.704
O  0.303  0.303  0.501
O  0.338  0.338  0.003
O  0.662  0.662  0.997
O  0.697  0.697  0.499
O  0.789  0.211  0.296
O  0.789  0.211  0.704

Values from the calculation:
Density of states at the Fermi level ... 5.234 states/eV/f.u.
Calculated total energy ... -8.193 eV/atom
Formation energy without anion corrections ... -207.9 kJ/mol of atoms
M_tot ... 4.000 μB per cell

=====

DFT (GGA-PBE) results for a relaxed K3PuGa2O8 crystal.

a = 5.865 Å, b = 5.865 Å, c = 7.792 Å
α = 90.00°, β = 90.00°, γ = 120.00°
Fractional positions:
K  0.000  0.000  0.000
K  0.333  0.667  0.695
K  0.667  0.333  0.305
Pu  0.000  0.000  0.500
Ga  0.333  0.667  0.239
Ga  0.667  0.333  0.761
O  0.164  0.329  0.349
O  0.164  0.836  0.349
O  0.329  0.164  0.651
O  0.333  0.667  0.015
O  0.667  0.333  0.985
O  0.671  0.836  0.349
O  0.836  0.164  0.651
O  0.836  0.671  0.651

Values from the calculation:
Density of states at the Fermi level ... 8.454 states/eV/f.u.
Calculated total energy ... -6.393 eV/atom
Formation energy without anion corrections ... -180.2 kJ/mol of atoms
M_tot ... 1.665 μB per cell

=====

DFT (GGA-PBE) results for a relaxed KGaRe2O8 crystal.

a = 6.178 Å, b = 6.178 Å, c = 7.969 Å
α = 90.00°, β = 90.00°, γ = 120.00°
Fractional positions:
K  0.000  0.000  0.000
Ga  0.000  0.000  0.500
Re  0.333  0.667  0.798
Re  0.667  0.333  0.202
O  0.175  0.355  0.727
O  0.180  0.825  0.727
O  0.333  0.667  0.017
O  0.355  0.180  0.273
O  0.645  0.820  0.727
O  0.667  0.333  0.983
O  0.820  0.175  0.273
O  0.825  0.645  0.273

Values from the calculation:
Density of states at the Fermi level ... 0.000 states/eV/f.u.
Calculated total energy ... -7.354 eV/atom
Formation energy without anion corrections ... -157.3 kJ/mol of atoms
M_tot ... 0.000 μB per cell

=====

DFT (GGA-PBE) results for a relaxed K3GaRh3O8 crystal.

a = 7.033 Å, b = 7.033 Å, c = 7.033 Å
α = 52.99°, β = 52.99°, γ = 52.99°
Fractional positions:
K  0.000  0.500  0.500
K  0.500  0.000  0.500
K  0.500  0.500  0.000
Ga  0.500  0.500  0.500
Rh  0.000  0.000  0.500
Rh  0.000  0.500  0.000
Rh  0.500  0.000  0.000
O  0.222  0.222  0.222
O  0.226  0.721  0.721
O  0.279  0.279  0.774
O  0.279  0.774  0.279
O  0.721  0.226  0.721
O  0.721  0.721  0.226
O  0.774  0.279  0.279
O  0.778  0.778  0.778

Values from the calculation:
Density of states at the Fermi level ... 12.465 states/eV/f.u.
Calculated total energy ... -5.725 eV/atom
Formation energy without anion corrections ... -114.8 kJ/mol of atoms
M_tot ... 1.012 μB per cell

=====

DFT (GGA-PBE) results for a relaxed KGa2RuO6 crystal.

a = 7.470 Å, b = 7.470 Å, c = 6.301 Å
α = 104.14°, β = 104.14°, γ = 106.72°
Fractional positions:
K  0.101  0.899  0.750
K  0.899  0.101  0.250
Ga  0.300  0.444  0.840
Ga  0.444  0.300  0.340
Ga  0.556  0.700  0.660
Ga  0.700  0.556  0.160
Ru  0.208  0.792  0.250
Ru  0.792  0.208  0.750
O  0.043  0.232  0.723
O  0.185  0.639  0.965
O  0.232  0.043  0.223
O  0.332  0.430  0.542
O  0.361  0.815  0.535
O  0.430  0.332  0.042
O  0.570  0.668  0.958
O  0.639  0.185  0.465
O  0.668  0.570  0.458
O  0.768  0.957  0.777
O  0.815  0.361  0.035
O  0.957  0.768  0.277

Values from the calculation:
Density of states at the Fermi level ... 0.155 states/eV/f.u.
Calculated total energy ... -5.967 eV/atom
Formation energy without anion corrections ... -130.2 kJ/mol of atoms
M_tot ... 2.077 μB per cell